# NiIr2Rh, PBEsol geometry, DFT meta-GGA SCAN
data_NiIr2Rh
_cell_length_a 5.969
_cell_length_b 5.969
_cell_length_c 5.969
_cell_angle_alpha 90.00
_cell_angle_beta 90.00
_cell_angle_gamma 90.00
_symmetry_space_group_name_H-M 'F m -3 m'
_symmetry_Int_Tables_number 225
_symmetry_space_group_name_Hall '-F 4 2 3'
loop_
_atom_site_label
_atom_site_fract_x
_atom_site_fract_y
_atom_site_fract_z
_atom_site_occupancy
Ni1 0.000 0.000 0.000 1
Ir1 0.250 0.250 0.250 1
Rh1 0.000 0.000 0.500 1
# Raw total energy in eV/atom: -47.659
# DOS(E_F) in states/eV/cell: 16.10

# Tl2PbAu, PBEsol geometry, DFT meta-GGA SCAN
data_Tl2PbAu
_cell_length_a 6.209
_cell_length_b 3.681
_cell_length_c 9.535
_cell_angle_alpha 90.00
_cell_angle_beta 104.51
_cell_angle_gamma 90.00
_symmetry_space_group_name_H-M 'C 1 m 1'
_symmetry_Int_Tables_number 8
loop_
_symmetry_equiv_pos_as_xyz
'x,y,z'
'x,-y,z'
'x+1/2,y+1/2,z'
'x+1/2,-y+1/2,z'
loop_
_atom_site_label
_atom_site_fract_x
_atom_site_fract_y
_atom_site_fract_z
_atom_site_occupancy
Tl1 0.000 0.000 0.000 1
Tl2 0.248 0.000 0.722 1
Pb1 0.263 0.500 0.289 1
Au1 0.006 0.500 0.506 1
# Raw total energy in eV/atom: -72.416
# DOS(E_F) in states/eV/cell: 3.72

# Co2WSe, PBEsol geometry, DFT meta-GGA SCAN
data_Co2WSe
_cell_length_a 8.327
_cell_length_b 2.833
_cell_length_c 4.418
_cell_angle_alpha 90.00
_cell_angle_beta 94.69
_cell_angle_gamma 90.00
_symmetry_space_group_name_H-M 'C 1 m 1'
_symmetry_Int_Tables_number 8
loop_
_symmetry_equiv_pos_as_xyz
'x,y,z'
'x,-y,z'
'x+1/2,y+1/2,z'
'x+1/2,-y+1/2,z'
loop_
_atom_site_label
_atom_site_fract_x
_atom_site_fract_y
_atom_site_fract_z
_atom_site_occupancy
Co1 0.000 0.000 0.000 1
Co2 0.235 0.500 0.259 1
W1 0.269 0.000 0.789 1
Se1 0.485 0.000 0.420 1
# Raw total energy in eV/atom: -30.616
# DOS(E_F) in states/eV/cell: 4.07
# ΔE_f (raw) in kcal/mol of atoms: 11.0

# FeBi2F, PBEsol geometry, DFT meta-GGA SCAN
data_FeBi2F
_cell_length_a 5.405
_cell_length_b 5.405
_cell_length_c 13.094
_cell_angle_alpha 90.00
_cell_angle_beta 90.00
_cell_angle_gamma 90.00
_symmetry_space_group_name_H-M 'I -4 2 d'
_symmetry_Int_Tables_number 122
_symmetry_space_group_name_Hall 'I -4 2bw'
loop_
_atom_site_label
_atom_site_fract_x
_atom_site_fract_y
_atom_site_fract_z
_atom_site_occupancy
Fe1 0.000 0.000 0.000 1
Bi1 0.234 0.250 0.125 1
F1 0.000 0.000 0.500 1
# Raw total energy in eV/atom: -44.764
# DOS(E_F) in states/eV/cell: 9.10
# ΔE_f (raw) in kcal/mol of atoms: -1.3

# Pt3W5, PBEsol geometry, DFT meta-GGA SCAN
data_Pt3W5
_cell_length_a 7.808
_cell_length_b 8.034
_cell_length_c 3.881
_cell_angle_alpha 90.00
_cell_angle_beta 90.00
_cell_angle_gamma 90.00
_symmetry_space_group_name_H-M 'C m m m'
_symmetry_Int_Tables_number 65
_symmetry_space_group_name_Hall '-C 2 2'
loop_
_atom_site_label
_atom_site_fract_x
_atom_site_fract_y
_atom_site_fract_z
_atom_site_occupancy
Pt1 0.000 0.000 0.000 1
Pt2 0.245 0.000 0.500 1
W1 0.000 0.250 0.500 1
W2 0.000 0.500 0.000 1
W3 0.250 0.250 0.000 1
# Raw total energy in eV/atom: -70.045
# DOS(E_F) in states/eV/cell: 8.73

# PrDy3, PBEsol geometry, DFT meta-GGA SCAN
data_PrDy3
_cell_length_a 4.967
_cell_length_b 4.967
_cell_length_c 9.908
_cell_angle_alpha 90.00
_cell_angle_beta 90.00
_cell_angle_gamma 90.00
_symmetry_space_group_name_H-M 'I 4/m m m'
_symmetry_Int_Tables_number 139
_symmetry_space_group_name_Hall '-I 4 2'
loop_
_atom_site_label
_atom_site_fract_x
_atom_site_fract_y
_atom_site_fract_z
_atom_site_occupancy
Pr1 0.000 0.000 0.000 1
Dy1 0.000 0.000 0.500 1
Dy2 0.000 0.500 0.250 1
# Raw total energy in eV/atom: -46.654
# DOS(E_F) in states/eV/cell: 9.95
# Distance to the lowest polymorph of the same formula in kJ per mole of atoms: 0.2

# YSc2Cr, PBEsol geometry, DFT meta-GGA SCAN
data_YSc2Cr
_cell_length_a 4.675
_cell_length_b 3.254
_cell_length_c 11.829
_cell_angle_alpha 90.00
_cell_angle_beta 90.00
_cell_angle_gamma 90.00
_symmetry_space_group_name_H-M 'A m m 2'
_symmetry_Int_Tables_number 38
loop_
_symmetry_equiv_pos_as_xyz
'x,y,z'
'-x,-y,z'
'-x,y,z'
'x,-y,z'
'x,y+1/2,z+1/2'
'-x,-y+1/2,z+1/2'
'-x,y+1/2,z+1/2'
'x,-y+1/2,z+1/2'
loop_
_atom_site_label
_atom_site_fract_x
_atom_site_fract_y
_atom_site_fract_z
_atom_site_occupancy
Y1 0.000 0.000 0.000 1
Sc1 0.000 0.000 0.271 1
Sc2 0.500 0.000 0.668 1
Cr1 0.500 0.000 0.387 1
# Raw total energy in eV/atom: -18.526
# DOS(E_F) in states/eV/cell: 7.17
# Distance to the lowest polymorph of the same formula in kJ per mole of atoms: 4.1

# CoNiIr2, PBEsol geometry, DFT meta-GGA SCAN
data_CoNiIr2
_cell_length_a 3.710
_cell_length_b 3.710
_cell_length_c 7.102
_cell_angle_alpha 90.00
_cell_angle_beta 90.00
_cell_angle_gamma 90.00
_symmetry_space_group_name_H-M 'I 4/m m m'
_symmetry_Int_Tables_number 139
_symmetry_space_group_name_Hall '-I 4 2'
loop_
_atom_site_label
_atom_site_fract_x
_atom_site_fract_y
_atom_site_fract_z
_atom_site_occupancy
Co1 0.000 0.000 0.000 1
Ni1 0.000 0.000 0.500 1
Ir1 0.000 0.500 0.250 1
# Raw total energy in eV/atom: -43.881
# DOS(E_F) in states/eV/cell: 7.87
# Distance to the lowest polymorph of the same formula in kJ per mole of atoms: 3.2